Entry 1:
! PrNd2Ag2Ge2 (GGA-PBE, relaxed); values from VASP
! **ρ**: 7.48 g/cm³
! **Total magnetization**: 0.00 μB/cell
! **Formation enthalpy at 0 K**: -0.433 eV/atom
&SYSTEM
  ibrav = 0, nat = 7, ntyp = 4
/
ATOMIC_SPECIES
Pr 140.91 Pr.upf
Nd 144.24 Nd.upf
Ag 107.87 Ag.upf
Ge 72.64 Ge.upf
ATOMIC_POSITIONS crystal
Pr 0.000 0.000 0.000
Nd 0.128 0.128 0.128
Nd 0.872 0.872 0.872
Ag 0.400 0.400 0.400
Ag 0.600 0.600 0.600
Ge 0.261 0.261 0.261
Ge 0.739 0.739 0.739
CELL_PARAMETERS angstrom
2.307 1.332 9.522
-2.307 1.332 9.522
0.000 -2.664 9.522

Entry 2:
! Pr2NdAg2Ge2 (GGA-PBE, relaxed); values from VASP
! **ρ**: 7.39 g/cm³
! **Total magnetization**: 0.00 μB/cell
! **Formation enthalpy at 0 K**: -0.431 eV/atom
&SYSTEM
  ibrav = 0, nat = 7, ntyp = 4
/
ATOMIC_SPECIES
Pr 140.91 Pr.upf
Nd 144.24 Nd.upf
Ag 107.87 Ag.upf
Ge 72.64 Ge.upf
ATOMIC_POSITIONS crystal
Pr 0.127 0.127 0.127
Pr 0.873 0.873 0.873
Nd 0.000 0.000 0.000
Ag 0.397 0.397 0.397
Ag 0.603 0.603 0.603
Ge 0.263 0.263 0.263
Ge 0.737 0.737 0.737
CELL_PARAMETERS angstrom
2.304 1.330 9.615
-2.304 1.330 9.615
0.000 -2.661 9.615

Entry 3:
! NdAgGe2Pt5 (GGA-PBE, relaxed); values from VASP
! **ρ**: 13.82 g/cm³
! **Total magnetization**: 0.00 μB/cell
! **Formation enthalpy at 0 K**: -0.537 eV/atom
&SYSTEM
  ibrav = 0, nat = 9, ntyp = 4
/
ATOMIC_SPECIES
Nd 144.24 Nd.upf
Ag 107.87 Ag.upf
Ge 72.64 Ge.upf
Pt 195.08 Pt.upf
ATOMIC_POSITIONS crystal
Nd 0.000 0.000 0.000
Ag 0.000 0.000 0.500
Ge 0.500 0.500 0.371
Ge 0.500 0.500 0.629
Pt 0.000 0.500 0.231
Pt 0.000 0.500 0.769
Pt 0.500 0.000 0.231
Pt 0.500 0.000 0.769
Pt 0.500 0.500 0.000
CELL_PARAMETERS angstrom
4.195 0.000 0.000
0.000 4.195 0.000
0.000 0.000 9.371

Entry 4:
! Nd2AgGe4Pt3 (GGA-PBE, relaxed); values from VASP
! **ρ**: 10.72 g/cm³
! **Total magnetization**: 0.00 μB/cell
! **Formation enthalpy at 0 K**: -0.813 eV/atom
&SYSTEM
  ibrav = 0, nat = 10, ntyp = 4
/
ATOMIC_SPECIES
Nd 144.24 Nd.upf
Ag 107.87 Ag.upf
Ge 72.64 Ge.upf
Pt 195.08 Pt.upf
ATOMIC_POSITIONS crystal
Nd 0.000 0.500 0.248
Nd 0.500 0.000 0.752
Ag 0.000 0.000 0.500
Ge 0.000 0.000 0.000
Ge 0.000 0.500 0.638
Ge 0.500 0.000 0.362
Ge 0.500 0.500 0.000
Pt 0.000 0.500 0.879
Pt 0.500 0.000 0.121
Pt 0.500 0.500 0.500
CELL_PARAMETERS angstrom
4.387 0.000 0.000
0.000 4.387 0.000
0.000 0.000 10.235

Entry 5:
! NdPuAgGe (GGA-PBE, relaxed); values from VASP
! **ρ**: 9.51 g/cm³
! **Total magnetization**: 6.22 μB/cell
! **Formation enthalpy at 0 K**: -0.327 eV/atom
&SYSTEM
  ibrav = 0, nat = 4, ntyp = 4
/
ATOMIC_SPECIES
Nd 144.24 Nd.upf
Pu 244.00 Pu.upf
Ag 107.87 Ag.upf
Ge 72.64 Ge.upf
ATOMIC_POSITIONS crystal
Nd 0.000 0.000 0.000
Pu 0.500 0.500 0.500
Ag 0.750 0.750 0.750
Ge 0.250 0.250 0.250
CELL_PARAMETERS angstrom
0.000 3.675 3.675
3.675 0.000 3.675
3.675 3.675 0.000

Entry 6:
! Nd2AgGe2Rh5 (GGA-PBE, relaxed); values from VASP
! **ρ**: 9.76 g/cm³
! **Total magnetization**: 0.00 μB/cell
! **Formation enthalpy at 0 K**: -0.601 eV/atom
&SYSTEM
  ibrav = 0, nat = 20, ntyp = 4
/
ATOMIC_SPECIES
Nd 144.24 Nd.upf
Ag 107.87 Ag.upf
Ge 72.64 Ge.upf
Rh 102.91 Rh.upf
ATOMIC_POSITIONS crystal
Nd 0.175 0.325 0.000
Nd 0.325 0.825 0.000
Nd 0.675 0.175 0.000
Nd 0.825 0.675 0.000
Ag 0.000 0.000 0.000
Ag 0.500 0.500 0.000
Ge 0.123 0.623 0.000
Ge 0.377 0.123 0.000
Ge 0.623 0.877 0.000
Ge 0.877 0.377 0.000
Rh 0.000 0.500 0.500
Rh 0.067 0.788 0.500
Rh 0.212 0.067 0.500
Rh 0.288 0.567 0.500
Rh 0.433 0.288 0.500
Rh 0.500 0.000 0.500
Rh 0.567 0.712 0.500
Rh 0.712 0.433 0.500
Rh 0.788 0.933 0.500
Rh 0.933 0.212 0.500
CELL_PARAMETERS angstrom
9.948 0.000 0.000
0.000 9.948 0.000
0.000 0.000 3.630

Entry 7:
! Nd2AgGeS5 (GGA-PBE, relaxed); values from VASP
! **ρ**: 5.30 g/cm³
! **E_form (uncorrected)**: -1168 meV/atom
! **Total magnetization**: 0.00 μB/cell
&SYSTEM
  ibrav = 0, nat = 18, ntyp = 4
/
ATOMIC_SPECIES
Nd 144.24 Nd.upf
Ag 107.87 Ag.upf
Ge 72.64 Ge.upf
S 32.06 S.upf
ATOMIC_POSITIONS crystal
Nd 0.119 0.881 0.500
Nd 0.128 0.872 0.118
Nd 0.872 0.128 0.618
Nd 0.881 0.119 0.000
Ag 0.226 0.774 0.846
Ag 0.774 0.226 0.346
Ge 0.433 0.567 0.279
Ge 0.567 0.433 0.779
S 0.043 0.957 0.876
S 0.291 0.709 0.496
S 0.318 0.682 0.169
S 0.370 0.630 0.814
S 0.498 0.502 0.094
S 0.502 0.498 0.594
S 0.630 0.370 0.314
S 0.682 0.318 0.669
S 0.709 0.291 0.996
S 0.957 0.043 0.376
CELL_PARAMETERS angstrom
2.049 -8.602 0.000
2.049 8.602 0.000
0.000 0.000 11.177

Entry 8:
! NdAg2GeS4 (GGA-PBE, relaxed); values from VASP
! **ρ**: 5.52 g/cm³
! **E_form (uncorrected)**: -639 meV/atom
! **Total magnetization**: 0.00 μB/cell
&SYSTEM
  ibrav = 0, nat = 16, ntyp = 4
/
ATOMIC_SPECIES
Nd 144.24 Nd.upf
Ag 107.87 Ag.upf
Ge 72.64 Ge.upf
S 32.06 S.upf
ATOMIC_POSITIONS crystal
Nd 0.000 0.000 0.000
Nd 0.500 0.000 0.500
Ag 0.000 0.500 0.500
Ag 0.500 0.000 0.000
Ag 0.500 0.500 0.000
Ag 0.500 0.500 0.500
Ge 0.000 0.000 0.500
Ge 0.000 0.500 0.000
S 0.232 0.748 0.484
S 0.236 0.245 0.509
S 0.236 0.252 0.984
S 0.236 0.727 0.991
S 0.764 0.273 0.009
S 0.764 0.748 0.016
S 0.764 0.755 0.491
S 0.768 0.252 0.516
CELL_PARAMETERS angstrom
-3.744 4.019 5.608
3.744 -4.019 5.608
3.744 4.019 -5.608

Entry 9:
! Nd2Ag3GeSe6 (GGA-PBE, relaxed); values from VASP
! **ρ**: 6.60 g/cm³
! **E_form (uncorrected)**: -785 meV/atom
! **Total magnetization**: 0.00 μB/cell
&SYSTEM
  ibrav = 0, nat = 12, ntyp = 4
/
ATOMIC_SPECIES
Nd 144.24 Nd.upf
Ag 107.87 Ag.upf
Ge 72.64 Ge.upf
Se 78.96 Se.upf
ATOMIC_POSITIONS crystal
Nd 0.166 0.166 0.317
Nd 0.834 0.834 0.683
Ag 0.176 0.176 0.818
Ag 0.500 0.500 0.500
Ag 0.824 0.824 0.182
Ge 0.500 0.500 0.000
Se 0.006 0.006 0.768
Se 0.338 0.338 0.938
Se 0.339 0.339 0.425
Se 0.661 0.661 0.575
Se 0.662 0.662 0.062
Se 0.994 0.994 0.232
CELL_PARAMETERS angstrom
8.664 -2.105 0.000
8.664 2.105 0.000
-1.235 0.000 7.990

Entry 10:
! Nd2AgGeSe5 (GGA-PBE, relaxed); values from VASP
! **ρ**: 6.39 g/cm³
! **E_form (uncorrected)**: -1076 meV/atom
! **Total magnetization**: 0.00 μB/cell
&SYSTEM
  ibrav = 0, nat = 18, ntyp = 4
/
ATOMIC_SPECIES
Nd 144.24 Nd.upf
Ag 107.87 Ag.upf
Ge 72.64 Ge.upf
Se 78.96 Se.upf
ATOMIC_POSITIONS crystal
Nd 0.119 0.881 0.500
Nd 0.128 0.872 0.119
Nd 0.872 0.128 0.619
Nd 0.881 0.119 0.000
Ag 0.223 0.777 0.845
Ag 0.777 0.223 0.345
Ge 0.430 0.570 0.280
Ge 0.570 0.430 0.780
Se 0.043 0.957 0.884
Se 0.291 0.709 0.495
Se 0.314 0.686 0.165
Se 0.368 0.632 0.814
Se 0.497 0.503 0.094
Se 0.503 0.497 0.594
Se 0.632 0.368 0.314
Se 0.686 0.314 0.665
Se 0.709 0.291 0.995
Se 0.957 0.043 0.384
CELL_PARAMETERS angstrom
2.126 -9.008 0.000
2.126 9.008 0.000
0.000 0.000 11.721

Entry 11:
! NdSmAg2Ge2 (GGA-PBE, relaxed); values from VASP
! **ρ**: 7.95 g/cm³
! **Total magnetization**: 0.00 μB/cell
! **Formation enthalpy at 0 K**: -0.591 eV/atom
&SYSTEM
  ibrav = 0, nat = 6, ntyp = 4
/
ATOMIC_SPECIES
Nd 144.24 Nd.upf
Sm 150.36 Sm.upf
Ag 107.87 Ag.upf
Ge 72.64 Ge.upf
ATOMIC_POSITIONS crystal
Nd 0.000 0.000 0.000
Sm 0.000 0.000 0.500
Ag 0.333 0.667 0.743
Ag 0.667 0.333 0.257
Ge 0.333 0.667 0.252
Ge 0.667 0.333 0.748
CELL_PARAMETERS angstrom
4.531 0.000 0.000
-2.265 3.924 0.000
0.000 0.000 7.702

Entry 12:
! NdSm2Ag2Ge2 (GGA-PBE, relaxed); values from VASP
! **ρ**: 7.82 g/cm³
! **Total magnetization**: 0.00 μB/cell
! **Formation enthalpy at 0 K**: -0.430 eV/atom
&SYSTEM
  ibrav = 0, nat = 7, ntyp = 4
/
ATOMIC_SPECIES
Nd 144.24 Nd.upf
Sm 150.36 Sm.upf
Ag 107.87 Ag.upf
Ge 72.64 Ge.upf
ATOMIC_POSITIONS crystal
Nd 0.000 0.000 0.000
Sm 0.128 0.128 0.128
Sm 0.872 0.872 0.872
Ag 0.400 0.400 0.400
Ag 0.600 0.600 0.600
Ge 0.259 0.259 0.259
Ge 0.741 0.741 0.741
CELL_PARAMETERS angstrom
2.299 1.327 9.355
-2.299 1.327 9.355
0.000 -2.654 9.355

Number 1: raw total energy -4.612 eV/atom, calculated volume 176 Å³/cell. Number 2: raw total energy -4.611 eV/atom, calculated volume 177 Å³/cell. Number 3: raw total energy -5.766 eV/atom, calculated volume 165 Å³/cell. Number 4: raw total energy -5.711 eV/atom, calculated volume 197 Å³/cell. Number 5: raw total energy -6.969 eV/atom, calculated volume 99 Å³/cell. Number 6: raw total energy -6.438 eV/atom, calculated volume 359 Å³/cell. Number 7: raw total energy -5.350 eV/atom, calculated volume 394 Å³/cell. Number 8: raw total energy -4.589 eV/atom, calculated volume 338 Å³/cell. Number 9: raw total energy -4.420 eV/atom, calculated volume 291 Å³/cell. Number 10: raw total energy -4.901 eV/atom, calculated volume 449 Å³/cell. Number 11: raw total energy -4.661 eV/atom, calculated volume 137 Å³/cell. Number 12: raw total energy -4.593 eV/atom, calculated volume 171 Å³/cell.